Density functional theory data (GGA-PBE) for an optimized crystal structure of Pr2Sm5Y3.

The value obtained for the size of the total moment is 0.00 μB per cell. For the energy above the lowest structure with this stoichiometry, the calculation gives 0.0 meV per atom. The total energy comes out at -5.07 eV/atom. The value obtained for the formation energy is 18 kJ/mol of atoms. As for the symmetry: C2/c, No. 15.

```
Pr2Sm5Y3
1.0
5.461 -7.912 0.000
5.461 7.912 0.000
-5.385 0.000 8.005
Pr Sm Y
4 10 6
direct
0.019 0.271 0.053 Pr
0.271 0.019 0.553 Pr
0.729 0.981 0.447 Pr
0.981 0.729 0.947 Pr
0.150 0.389 0.783 Sm
0.229 0.771 0.750 Sm
0.271 0.729 0.250 Sm
0.389 0.150 0.283 Sm
0.469 0.531 0.250 Sm
0.531 0.469 0.750 Sm
0.611 0.850 0.717 Sm
0.729 0.271 0.750 Sm
0.771 0.229 0.250 Sm
0.850 0.611 0.217 Sm
0.021 0.979 0.750 Y
0.221 0.464 0.455 Y
0.464 0.221 0.955 Y
0.536 0.779 0.045 Y
0.779 0.536 0.545 Y
0.979 0.021 0.250 Y
```